No. 1
## GeW2Au2 (PBE)

Data for GeW2Au2 after structural relaxation.

Cell: 3.653 3.653 7.593 Å, 76.08 76.08 90.00°
Element x y z (fractional)
Ge  0.000  0.000  0.000
Au  0.403  0.403  0.195
Au  0.597  0.597  0.805
W  0.750  0.250  0.500
W  0.250  0.750  0.500

Output
The value obtained for the energy of formation from the pure elements is 0.613 eV per atom. The space-group type is I4/mmm. For the total energy, the calculation gives -6.80 eV/atom.


No. 2
## GeW2Au2 (PBE)

Data for GeW2Au2 after structural relaxation.

Cell: 8.329 8.329 2.735 Å, 90.00 90.00 90.00°
Element x y z (fractional)
Ge  0.000  0.000  0.000
Ge  0.500  0.500  0.000
Au  0.314  0.814  0.000
Au  0.814  0.686  0.000
Au  0.686  0.186  0.000
Au  0.186  0.314  0.000
W  0.107  0.607  0.500
W  0.607  0.893  0.500
W  0.893  0.393  0.500
W  0.393  0.107  0.500

Output
The value obtained for the energy of formation from the pure elements is 0.681 eV per atom. The space-group type is P4/mbm. For the total energy, the calculation gives -6.73 eV/atom.


No. 3
## GeW3Au (PBE)

Data for GeW3Au after structural relaxation.

Cell: 4.589 4.589 4.589 Å, 90.00 90.00 90.00°
Element x y z (fractional)
Ge  0.000  0.000  0.000
Au  0.500  0.500  0.500
W  0.000  0.500  0.000
W  0.000  0.000  0.500
W  0.500  0.000  0.000

Output
The value obtained for the energy of formation from the pure elements is 1.738 eV per atom. The space-group type is Pm-3m. For the total energy, the calculation gives -7.61 eV/atom.


No. 4
## Y2GeAu2 (PBE)

Data for Y2GeAu2 after structural relaxation.

Cell: 7.765 7.765 3.829 Å, 90.00 90.00 90.00°
Element x y z (fractional)
Y  0.172  0.672  0.500
Y  0.672  0.828  0.500
Y  0.828  0.328  0.500
Y  0.328  0.172  0.500
Ge  0.000  0.000  0.000
Ge  0.500  0.500  0.000
Au  0.372  0.872  0.000
Au  0.872  0.628  0.000
Au  0.628  0.128  0.000
Au  0.128  0.372  0.000

Output
The value obtained for the energy of formation from the pure elements is -0.731 eV per atom. The space-group type is P4/mbm. For the total energy, the calculation gives -5.55 eV/atom.


No. 5
## Y2GeAu (PBE)

Data for Y2GeAu after structural relaxation.

Cell: 4.341 5.895 8.036 Å, 110.40 90.00 90.00°
Element x y z (fractional)
Y  0.750  0.221  0.431
Y  0.250  0.779  0.569
Y  0.250  0.782  0.072
Y  0.750  0.218  0.928
Ge  0.250  0.329  0.208
Ge  0.750  0.671  0.792
Au  0.750  0.671  0.292
Au  0.250  0.329  0.708

Output
The value obtained for the energy of formation from the pure elements is -0.867 eV per atom. The space-group type is P2_1/m. For the total energy, the calculation gives -6.07 eV/atom.


No. 6
## YGe3Au3 (PBE)

Data for YGe3Au3 after structural relaxation.

Cell: 7.054 7.054 7.054 Å, 90.00 90.00 90.00°
Element x y z (fractional)
Y  0.500  0.500  0.500
Y  0.000  0.000  0.000
Ge  0.250  0.000  0.500
Ge  0.000  0.500  0.250
Ge  0.500  0.750  0.000
Ge  0.750  0.000  0.500
Ge  0.000  0.500  0.750
Ge  0.500  0.250  0.000
Au  0.000  0.250  0.500
Au  0.000  0.750  0.500
Au  0.500  0.000  0.750
Au  0.750  0.500  0.000
Au  0.500  0.000  0.250
Au  0.250  0.500  0.000

Output
The value obtained for the energy of formation from the pure elements is 0.070 eV per atom. The space-group type is Pm-3n. For the total energy, the calculation gives -4.24 eV/atom.


No. 7
## YGeAu (PBE)

Data for YGeAu after structural relaxation.

Cell: 4.099 4.097 8.499 Å, 103.98 76.00 90.02°
Element x y z (fractional)
Y  0.850  0.087  0.910
Y  0.101  0.337  0.408
Ge  0.677  0.761  0.255
Ge  0.524  0.913  0.561
Au  0.267  0.670  0.076
Au  0.436  0.503  0.740

Output
The value obtained for the energy of formation from the pure elements is -0.677 eV per atom. The space-group type is Cm. For the total energy, the calculation gives -5.46 eV/atom.


No. 8
## YGeAu (PBE)

Data for YGeAu after structural relaxation.

Cell: 5.727 4.336 5.934 Å, 68.60 91.45 112.20°
Element x y z (fractional)
Y  0.156  0.950  0.471
Y  0.539  0.443  0.869
Ge  0.720  0.224  0.488
Ge  0.975  0.169  0.852
Au  0.112  0.628  0.071
Au  0.584  0.766  0.268

Output
The value obtained for the energy of formation from the pure elements is -0.744 eV per atom. The space-group type is P-1. For the total energy, the calculation gives -5.53 eV/atom.


No. 9
## YGeAu (PBE)

Data for YGeAu after structural relaxation.

Cell: 4.479 4.479 7.355 Å, 90.00 90.00 120.00°
Element x y z (fractional)
Y  0.000  0.000  0.461
Y  0.000  0.000  0.961
Ge  0.333  0.667  0.754
Ge  0.667  0.333  0.254
Au  0.667  0.333  0.675
Au  0.333  0.667  0.175

Output
The value obtained for the energy of formation from the pure elements is -0.839 eV per atom. The space-group type is P6_3mc. For the total energy, the calculation gives -5.63 eV/atom.


No. 10
## YGeAu (PBE)

Data for YGeAu after structural relaxation.

Cell: 3.528 3.528 5.788 Å, 107.74 107.74 90.00°
Element x y z (fractional)
Y  0.956  0.956  0.912
Ge  0.270  0.270  0.539
Au  0.624  0.624  0.249

Output
The value obtained for the energy of formation from the pure elements is -0.491 eV per atom. The space-group type is I4mm. For the total energy, the calculation gives -5.28 eV/atom.


No. 11
## Y8Ge5Au (PBE)

Data for Y8Ge5Au after structural relaxation.

Cell: 7.689 7.689 7.689 Å, 109.67 109.06 109.67°
Element x y z (fractional)
Y  0.127  0.754  0.012
Y  0.988  0.115  0.742
Y  0.749  0.244  0.367
Y  0.633  0.383  0.878
Y  0.495  0.617  0.251
Y  0.627  0.885  0.873
Y  0.258  0.246  0.373
Y  0.122  0.756  0.505
Ge  0.005  0.377  0.127
Ge  0.873  0.878  0.250
Ge  0.750  0.623  0.628
Ge  0.500  0.000  0.500
Ge  0.372  0.122  0.995
Au  0.250  0.500  0.750

Output
The value obtained for the energy of formation from the pure elements is -0.837 eV per atom. The space-group type is I-4. For the total energy, the calculation gives -6.41 eV/atom.


No. 12
## Y2GeAu (PBE)

Data for Y2GeAu after structural relaxation.

Cell: 4.351 4.351 6.850 Å, 71.48 71.48 60.00°
Element x y z (fractional)
Y  0.255  0.255  0.234
Y  0.745  0.745  0.766
Ge  0.000  0.000  0.000
Au  0.500  0.500  0.500

Output
The value obtained for the energy of formation from the pure elements is -0.740 eV per atom. The space-group type is R-3m. For the total energy, the calculation gives -5.95 eV/atom.


| no. | magnetization (μB/cell) |
| --- | --- |
| 1 | 0.0 |
| 2 | 0.0 |
| 3 | 0.0 |
| 4 | 0.0 |
| 5 | 0.0 |
| 6 | 0.0 |
| 7 | 0.0 |
| 8 | 0.0 |
| 9 | 0.0 |
| 10 | 0.0 |
| 11 | 0.0 |
| 12 | 0.0 |